VASP calculation (SCAN) on MgCr2Fe at its PBEsol-relaxed geometry.

POSCAR file:
```
MgCr2Fe
1.0
4.8918 0.0000 0.0000
0.0000 8.4768 0.0000
-0.7153 0.0000 2.3470
Mg Cr Fe
2 4 2
Direct
0.0000 0.0000 0.0000
0.5000 0.5000 0.0000
0.2500 0.2500 0.5000
0.2500 0.7500 0.5000
0.7500 0.2500 0.5000
0.7500 0.7500 0.5000
0.0000 0.5000 0.0000
0.5000 0.0000 0.0000
```

Computed properties:
* DOS(E_F): 6.3 states/eV per cell
* ΔE_f: 0.4825 eV/atom
* SG: C2/m